PBE-GGA Tb3ThHg4, relaxed; E_form = -395.3 meV per atom; uncorrected energy = -0.118 Ha/atom
1.0
5.303 0.000 0.000
0.000 5.303 0.000
0.000 0.000 7.577
Tb Th Hg
3 1 4
Direct
0.000 0.000 0.000
0.000 0.000 0.500
0.500 0.500 0.000
0.500 0.500 0.500
0.000 0.500 0.241
0.000 0.500 0.759
0.500 0.000 0.241
0.500 0.000 0.759

PBE-GGA TbTh2Hg, relaxed; E_form = -79.1 meV per atom; uncorrected energy = -0.185 Ha/atom; polymorph energy (0 for the lowest one) = 0 kJ/mol of formula units
1.0
4.808 0.000 0.000
0.000 4.808 0.000
0.000 0.000 5.037
Tb Th Hg
1 2 1
Direct
0.000 0.000 0.000
0.000 0.500 0.500
0.500 0.000 0.500
0.500 0.500 0.000